No. 1
{
  "formula": "LaCuNi2",
  "functional": "PBE",
  "state": "relaxed",
  "formation_energy_mev_per_atom": -284,
  "sg": "R-3m",
  "lattice_angstrom": [[2.573, 1.485, 8.344], [-2.573, 1.485, 8.344], [0.000, -2.971, 8.344]],
  "species": ["La", "La", "La", "Cu", "Cu", "Cu", "Ni", "Ni", "Ni", "Ni", "Ni", "Ni"],
  "frac_coords": [[0.000, 0.000, 0.000], [0.136, 0.136, 0.136], [0.864, 0.864, 0.864], [0.333, 0.333, 0.333], [0.500, 0.500, 0.500], [0.667, 0.667, 0.667], [0.082, 0.581, 0.581], [0.419, 0.419, 0.918], [0.419, 0.918, 0.419], [0.581, 0.082, 0.581], [0.581, 0.581, 0.082], [0.918, 0.419, 0.419]]
}



No. 2
{
  "formula": "TlSi5",
  "functional": "PBE",
  "state": "relaxed",
  "de_polymorph_mev_per_atom": 66.7,
  "formation_energy_uncorrected_ev_per_fu": 3.1,
  "sg": "P6/mmm",
  "lattice_angstrom": [[5.388, 0.000, 0.000], [-2.694, 4.666, 0.000], [0.000, 0.000, 4.277]],
  "species": ["Tl", "Si", "Si", "Si", "Si", "Si"],
  "frac_coords": [[0.000, 0.000, 0.000], [0.000, 0.500, 0.500], [0.333, 0.667, 0.000], [0.500, 0.000, 0.500], [0.500, 0.500, 0.500], [0.667, 0.333, 0.000]]
}



No. 3
{
  "formula": "In4CoRh",
  "functional": "PBE",
  "state": "relaxed",
  "formation_energy_mev_per_atom": 760,
  "sg": "F-43m",
  "lattice_angstrom": [[0.000, 4.001, 4.001], [4.001, 0.000, 4.001], [4.001, 4.001, 0.000]],
  "species": ["In", "In", "In", "In", "Co", "Rh"],
  "frac_coords": [[0.125, 0.125, 0.125], [0.125, 0.125, 0.625], [0.125, 0.625, 0.125], [0.625, 0.125, 0.125], [0.500, 0.500, 0.500], [0.750, 0.750, 0.750]]
}



No. 4
{
  "formula": "Co2ReHg",
  "functional": "PBE",
  "state": "relaxed",
  "formation_energy_mev_per_atom": 568,
  "sg": "Imm2",
  "lattice_angstrom": [[-1.360, 2.217, 4.697], [1.360, -2.217, 4.697], [1.360, 2.217, -4.697]],
  "species": ["Co", "Co", "Re", "Hg"],
  "frac_coords": [[0.000, 0.000, 0.000], [0.777, 0.277, 0.500], [0.557, 0.557, 0.000], [0.273, 0.773, 0.500]]
}



No. 5
{
  "formula": "NdYPd4",
  "functional": "PBE",
  "state": "relaxed",
  "de_polymorph_mev_per_atom": 276.4,
  "formation_energy_mev_per_atom": -557,
  "sg": "P4/mmm",
  "lattice_angstrom": [[3.950, 0.000, 0.000], [0.000, 3.950, 0.000], [0.000, 0.000, 8.705]],
  "species": ["Nd", "Y", "Pd", "Pd", "Pd", "Pd"],
  "frac_coords": [[0.000, 0.000, 0.000], [0.500, 0.500, 0.500], [0.000, 0.500, 0.255], [0.000, 0.500, 0.745], [0.500, 0.000, 0.255], [0.500, 0.000, 0.745]]
}



No. 6
{
  "formula": "CaAgBrF2",
  "functional": "PBE",
  "state": "relaxed",
  "formation_energy_uncorrected_ev_per_fu": -11.7,
  "sg": "P2_1/m",
  "lattice_angstrom": [[6.264, 0.000, 0.000], [0.000, 3.744, 0.000], [-2.279, 0.000, 8.378]],
  "species": ["Ca", "Ca", "Ag", "Ag", "Br", "Br", "F", "F", "F", "F"],
  "frac_coords": [[0.220, 0.250, 0.439], [0.780, 0.750, 0.561], [0.411, 0.750, 0.865], [0.589, 0.250, 0.135], [0.250, 0.750, 0.122], [0.750, 0.250, 0.878], [0.023, 0.250, 0.626], [0.402, 0.750, 0.575], [0.598, 0.250, 0.425], [0.977, 0.750, 0.374]]
}



No. 7
{
  "formula": "TiMn2InCl",
  "functional": "PBE",
  "state": "relaxed",
  "formation_energy_uncorrected_ev_per_fu": 1.7,
  "sg": "P4/mmm",
  "lattice_angstrom": [[4.321, 0.000, 0.000], [0.000, 4.321, 0.000], [0.000, 0.000, 4.523]],
  "species": ["Ti", "Mn", "Mn", "In", "Cl"],
  "frac_coords": [[0.000, 0.000, 0.000], [0.000, 0.500, 0.500], [0.500, 0.000, 0.500], [0.500, 0.500, 0.000], [0.000, 0.000, 0.500]]
}



No. 8
{
  "formula": "AlZn2Ag2Au5",
  "functional": "PBE",
  "state": "relaxed",
  "formation_energy_mev_per_atom": -132,
  "sg": "P4/mbm",
  "lattice_angstrom": [[9.955, 0.000, 0.000], [0.000, 9.955, 0.000], [0.000, 0.000, 3.614]],
  "species": ["Al", "Al", "Zn", "Zn", "Zn", "Zn", "Ag", "Ag", "Ag", "Ag", "Au", "Au", "Au", "Au", "Au", "Au", "Au", "Au", "Au", "Au"],
  "frac_coords": [[0.000, 0.000, 0.000], [0.500, 0.500, 0.000], [0.137, 0.363, 0.000], [0.363, 0.863, 0.000], [0.637, 0.137, 0.000], [0.863, 0.637, 0.000], [0.155, 0.655, 0.000], [0.345, 0.155, 0.000], [0.655, 0.845, 0.000], [0.845, 0.345, 0.000], [0.000, 0.500, 0.500], [0.119, 0.166, 0.500], [0.166, 0.881, 0.500], [0.334, 0.381, 0.500], [0.381, 0.666, 0.500], [0.500, 0.000, 0.500], [0.619, 0.334, 0.500], [0.666, 0.619, 0.500], [0.834, 0.119, 0.500], [0.881, 0.834, 0.500]]
}